VASP calculation (PBE) on a geometry-optimized TiCu3Sb structure.

The structure in POSCAR format:
```
TiCu3Sb
1.0
-2.948 3.217 1.866
-2.505 0.042 -4.030
-2.749 -3.488 1.672
Ti Cu Sb
1 3 1
direct
0.500 0.500 0.500
0.000 0.500 0.000
0.000 0.000 0.500
0.500 0.000 0.000
0.000 0.000 0.000
```

Output
* total DFT energy (no corrections): -19.84 eV for the cell shown
* formation energy (no corrections): 0.8935 eV per atom
* space-group type: No. 221
* DOS at the Fermi energy: 4.46 states/eV/cell